The following is a DFT calculation (PBE-GGA) of an optimized crystal structure of CuAg4Te5.

Results
ΔE_f (raw) = 0.1 eV/f.u.
N(E_F) = 0.612 states/eV/atom
total moment = 0.000 μB per formula unit
total energy = -3.11 eV per atom

Unit cell a=5.7940 b=7.1219 c=7.1219 alpha=80.48 beta=66.00 gamma=66.00
Element x y z (fractional)
Te: 0.5009 0.0000 0.0000
Te: 0.9185 0.3636 0.8014
Te: 0.7199 0.1986 0.3636
Te: 0.0834 0.6364 0.1986
Te: 0.2821 0.8014 0.6364
Ag: 0.2030 0.2013 0.3946
Ag: 0.7989 0.7987 0.6054
Ag: 0.5977 0.6054 0.2013
Ag: 0.4043 0.3946 0.7987
Cu: 0.0016 0.0000 0.0000